First-principles (PBE-GGA) data for a relaxed structure of Na2SnPCO7, as listed in Alexandria via LeMat-Bulk.

Output
- Calculated total energy: -0.4762 Ry per atom
- Raw formation energy: -1.814 eV per atom
- Mass density: 3.1 g/cm3

a = 6.8446 Å, b = 5.3877 Å, c = 9.3169 Å
α = 89.33°, β = 90.00°, γ = 90.00°
Positions (direct):
Na 0.4925 0.2515 0.7822
Na 0.0075 0.2515 0.7822
Na 0.5075 0.7485 0.2178
Na 0.9925 0.7485 0.2178
Sn 0.7500 0.7971 0.6265
Sn 0.2500 0.2029 0.3735
P 0.2500 0.7226 0.5882
P 0.7500 0.2774 0.4118
C 0.7500 0.7438 0.9139
C 0.2500 0.2562 0.0861
O 0.2500 0.2787 0.9519
O 0.7500 0.9610 0.8461
O 0.7500 0.5494 0.8272
O 0.0687 0.8416 0.6616
O 0.4313 0.8416 0.6616
O 0.7500 0.2089 0.5765
O 0.2500 0.4358 0.6063
O 0.7500 0.5642 0.3937
O 0.2500 0.7911 0.4235
O 0.5687 0.1584 0.3384
O 0.9313 0.1584 0.3384
O 0.2500 0.4506 0.1728
O 0.2500 0.0390 0.1539
O 0.7500 0.7213 0.0481